Entry from Alexandria via LeMat-Bulk: a geometry-optimized MgP2WCl structure (PBE).

Cell lengths 4.8074, 4.8074, 4.5499 Å; angles 90.00, 90.00, 90.00 degrees
Closest atoms and distances in Å follow each position.
Positions (direct):
Mg1 0.0000 0.0000 0.0000  2 Cl 2.27, 4 P 2.40
P1 0.0000 0.5000 0.0000  2 Mg 2.40
P2 0.5000 0.0000 0.0000  2 Mg 2.40
W1 0.5000 0.5000 0.5000  8 P 3.31, 4 Cl 3.40
Cl1 0.0000 0.0000 0.5000  2 Mg 2.27

Values from the calculation:
For the excess energy over the best structure of this formula in the dataset, the calculation gives 1029 meV/atom. For the uncorrected formation energy, the calculation gives 118.23 kJ per mole of atoms. The value obtained for the total magnetization is 2.95 Bohr magnetons per cell. Its space-group type is P4/mmm.